[1]
The following is a DFT calculation (PBE) of an optimized crystal structure of Mo4PAuN2.

For the raw total energy, the calculation gives -69.2 eV per cell.

It has space group P-6m2 (No. 187), with a = 2.9493 Å, b = 2.9493 Å, c = 13.7467 Å, α = 90.00°, β = 90.00° and γ = 120.00°. The asymmetric unit holds Mo at (0.0000, 0.0000, 0.1309), Mo at (0.6667, 0.3333, 0.3258), P at (0.6667, 0.3333, 0.0000), Au at (0.0000, 0.0000, 0.5000) and N at (0.3333, 0.6667, 0.2328).

***

[2]
The following is a DFT calculation (PBE) of an optimized crystal structure of LuNiHg2.

The energy of formation from the pure elements is -0.155 eV/atom. For the raw total energy, the calculation gives -45.2 eV per cell.

It has space group F-43m (No. 216), with a = 6.789 Å, b = 6.789 Å, c = 6.789 Å, α = 90.00°, β = 90.00° and γ = 90.00°. The asymmetric unit holds Lu at (0.000, 0.000, 0.000), Ni at (0.250, 0.250, 0.750), Hg at (0.000, 0.000, 0.500) and Hg at (0.250, 0.250, 0.250).